1.
Material: AgBiPO
Method: DFT, PBE
State: optimized geometry

a = 3.9146 Å, b = 6.5471 Å, c = 6.8731 Å
α = 90.00°, β = 90.00°, γ = 90.00°
With the nearest neighbours (Å) after each atom.
Element x y z (fractional)
O 0.5000 0.6435 0.8693  2 Bi 2.18-2.33
O 0.5000 0.3565 0.3693  2 Bi 2.18-2.33
Bi 0.5000 0.6429 0.5306  2 O 2.18-2.33
Bi 0.5000 0.3571 0.0306  2 O 2.18-2.33
P 0.0000 0.8425 0.3521  2 Ag 2.41-2.45, 2 Bi 2.65
P 0.0000 0.1575 0.8521  2 Ag 2.41-2.45, 2 Bi 2.65
Ag 0.0000 0.8172 0.0020  2 P 2.41-2.45, 2 O 2.44
Ag 0.0000 0.1828 0.5020  2 P 2.41-2.45, 2 O 2.44



2.
Material: AgBiPO
Method: DFT, PBE
State: optimized geometry

a = 3.9608 Å, b = 3.9608 Å, c = 9.2014 Å
α = 90.00°, β = 90.00°, γ = 90.00°
With the nearest neighbours (Å) after each atom.
Element x y z (fractional)
P 0.5000 0.0000 0.3170  4 Ag 2.60
P 0.0000 0.5000 0.6830  4 Ag 2.60
Ag 0.0000 0.0000 0.5000  4 P 2.60, 4 Ag 2.80
Ag 0.5000 0.5000 0.5000  4 P 2.60, 4 Ag 2.80
O 0.0000 0.0000 0.0000  4 Bi 2.35
O 0.5000 0.5000 0.0000  4 Bi 2.35
Bi 0.0000 0.5000 0.1378  4 O 2.35
Bi 0.5000 0.0000 0.8622  4 O 2.35



What are the E values for these records? In order: -4.409; -4.600 eV/atom.
What are the excess energy over the best structure of this formula in the dataset values for these records? In order: 191; 0 meV per atom.